1.
An optimized crystal structure of Mg2H3Ir. Source: Alexandria, functional PBE.

The structure in POSCAR format:
```
Mg2H3Ir
1.0
-2.215 0.370 3.528
-1.208 -3.991 2.130
4.357 -1.657 0.440
Mg Ir H
2 1 3
Direct
0.590 0.956 0.644
0.590 0.381 0.068
0.082 0.668 0.356
0.093 0.909 0.597
0.093 0.428 0.115
0.669 0.669 0.355
```

The value obtained for the density is 5.9 Mg/m³. The density of states at the Fermi level is 1.03 states/eV per cell. As for the relative energy among the computed polymorphs: 56 meV per atom. As for the space group: Cm.

---

2.
An optimized crystal structure of KInHg5. Source: Alexandria, functional PBE.

The structure in POSCAR format:
```
KInHg5
1.0
4.477 0.000 0.000
0.000 4.477 0.000
0.000 0.000 10.820
K Hg In
1 5 1
Direct
0.000 0.000 0.500
0.500 0.000 0.245
0.500 0.000 0.755
0.500 0.500 0.000
0.000 0.500 0.245
0.000 0.500 0.755
0.000 0.000 0.000
```

The value obtained for the density is 8.9 Mg/m³. The density of states at the Fermi level is 3.24 states/eV per cell. As for the relative energy among the computed polymorphs: 7 meV per atom. As for the space group: P4/mmm.

---

3.
An optimized crystal structure of RbTe2Pd. Source: Alexandria, functional PBE.

The structure in POSCAR format:
```
RbTe2Pd
1.0
-6.588 5.055 1.761
-2.985 -5.787 5.446
-2.804 1.244 6.400
Pd Te Rb
2 4 2
Direct
0.750 0.250 0.500
0.000 0.000 0.000
0.875 0.980 0.750
0.730 0.125 0.250
0.020 0.625 0.250
0.375 0.270 0.750
0.250 0.750 0.500
0.500 0.500 0.000
```

The value obtained for the density is 5.4 Mg/m³. The density of states at the Fermi level is 10.45 states/eV per cell. As for the energy: -3.58 eV per atom. As for the space group: I-42d.

---

4.
An optimized crystal structure of RbNa2Pd. Source: Alexandria, functional PBE.

The structure in POSCAR format:
```
RbNa2Pd
1.0
-1.098 -4.922 0.978
5.010 -1.019 0.500
1.366 -0.780 11.098
Pd Rb Na
2 2 4
Direct
0.000 0.000 0.000
0.750 0.250 0.500
0.250 0.750 0.500
0.500 0.500 0.000
0.718 0.125 0.250
0.375 0.282 0.750
0.032 0.625 0.250
0.875 0.968 0.750
```

The value obtained for the density is 2.8 Mg/m³. The density of states at the Fermi level is 2.79 states/eV per cell. As for the relative energy among the computed polymorphs: 157 meV per atom. As for the space group: I-42d.

---

5.
An optimized crystal structure of LaTlSn2. Source: Alexandria, functional PBE.

The structure in POSCAR format:
```
LaTlSn2
1.0
8.601 0.000 0.000
0.000 8.601 0.000
4.300 4.300 3.331
Sn Tl La
4 2 2
Direct
0.375 0.347 0.750
0.875 0.903 0.750
0.653 0.125 0.250
0.097 0.625 0.250
0.000 0.000 0.000
0.750 0.250 0.500
0.500 0.500 0.000
0.250 0.750 0.500
```

The value obtained for the density is 7.8 Mg/m³. The density of states at the Fermi level is 1.16 states/eV per cell. As for the energy: -4.07 eV per atom. As for the space group: I-42d.

---

6.
An optimized crystal structure of Sb3Pt2. Source: Alexandria, functional PBE.

The structure in POSCAR format:
```
Sb3Pt2
1.0
7.078 0.000 0.000
3.539 6.127 0.177
3.539 1.885 5.565
Sb Pt
6 4
Direct
0.936 0.250 0.750
0.064 0.750 0.250
0.750 0.436 0.250
0.250 0.564 0.750
0.436 0.064 0.250
0.564 0.936 0.750
0.350 0.350 0.450
0.850 0.850 0.950
0.150 0.150 0.050
0.650 0.650 0.550
```

The value obtained for the density is 10.5 Mg/m³. The density of states at the Fermi level is 4.59 states/eV per cell. As for the energy: -5.28 eV per atom. As for the space group: R-3c.

---

> Among the records above, which one has the highest density?

Sb3Pt2